{
  "formula": "SnOF",
  "functional": "GGA-PBE",
  "state": "relaxed",
  "lattice": [[3.250, 0.000, 0.000], [0.000, 8.737, 0.000], [0.000, 0.000, 6.502]],
  "species": ["Sn", "Sn", "Sn", "Sn", "O", "O", "O", "O", "F", "F", "F", "F"],
  "fractional_positions": [[0.001, 0.249, 0.250], [0.001, 0.251, 0.750], [0.999, 0.749, 0.250], [0.999, 0.751, 0.750], [0.498, 0.750, 0.000], [0.498, 0.750, 0.500], [0.502, 0.250, 0.000], [0.502, 0.250, 0.500], [0.000, 0.001, 0.750], [0.000, 0.499, 0.250], [0.000, 0.501, 0.750], [0.000, 0.999, 0.250]],
  "space_group": "Pbcm",
  "raw_formation_energy_kj_per_mol_atoms": -155.9,
  "magmom_total_mub_per_cell": 0.000,
  "vol_a3_per_cell": 185,
  "mass_density_g_cm3": 5.53
}